1.
Compound: Be2CuAu7
Source: Alexandria
Functional: PBE-GGA
Structure: optimized geometry

Properties
As for the crystal system: tetragonal. For the formation energy, the calculation gives -6.4 kJ/mol of atoms.

Unit cell a=4.0615 b=4.0615 c=19.7243 alpha=90.00 beta=90.00 gamma=90.00
Space group I4/mmm (No. 139)
Asymmetric unit:
Be: 0.0000 0.0000 0.1760 [4 per cell]
Cu: 0.0000 0.0000 0.5000 [2 per cell]
Au: 0.0000 0.0000 0.0000 [2 per cell]
Au: 0.0000 0.5000 0.1047 [8 per cell]
Au: 0.0000 0.5000 0.2500 [4 per cell]

2.
Compound: NaSrCrH2
Source: Alexandria
Functional: PBE-GGA
Structure: optimized geometry

Properties
As for the crystal system: tetragonal. The calculation puts the energy at -3.3134 eV per atom.

Unit cell a=4.6083 b=4.6083 c=6.8089 alpha=90.00 beta=90.00 gamma=90.00
Space group P4/mmm (No. 123)
Asymmetric unit:
Na: 0.0000 0.0000 0.0000 [1 per cell]
Sr: 0.5000 0.5000 0.5000 [1 per cell]
Cr: 0.5000 0.5000 0.0000 [1 per cell]
H: 0.0000 0.5000 0.5000 [2 per cell]

3.
Compound: Cs2NaBi4Pb3
Source: Alexandria
Functional: PBE-GGA
Structure: optimized geometry

Properties
As for the crystal system: tetragonal. For the formation energy, the calculation gives -22.2 kJ/mol of atoms.

Unit cell a=5.5341 b=5.5341 c=13.2439 alpha=90.00 beta=90.00 gamma=90.00
Space group P-4m2 (No. 115)
Asymmetric unit:
Cs: 0.0000 0.5000 0.2491 [2 per cell]
Na: 0.5000 0.5000 0.0000 [1 per cell]
Bi: 0.0000 0.0000 0.5000 [1 per cell]
Bi: 0.0000 0.5000 0.8696 [2 per cell]
Bi: 0.5000 0.5000 0.5000 [1 per cell]
Pb: 0.0000 0.0000 0.0000 [1 per cell]
Pb: 0.0000 0.5000 0.6266 [2 per cell]

4.
Compound: MnPOs2
Source: Alexandria
Functional: PBE-GGA
Structure: optimized geometry

Properties
As for the crystal system: orthorhombic. For the formation energy, the calculation gives -0.2 kJ/mol of atoms.

Unit cell a=2.8111 b=4.2233 c=9.1145 alpha=90.00 beta=90.00 gamma=90.00
Space group Immm (No. 71)
Asymmetric unit:
Mn: 0.0000 0.0000 0.0000 [2 per cell]
P: 0.0000 0.0000 0.5000 [2 per cell]
Os: 0.0000 0.5000 0.2059 [4 per cell]

5.
Compound: Sm7Tl2Te2
Source: Alexandria
Functional: PBE-GGA
Structure: optimized geometry

Properties
As for the crystal system: orthorhombic. The uncorrected formation energy comes out at -0.388 eV per atom.

Unit cell a=8.5385 b=11.2663 c=7.5764 alpha=90.00 beta=90.00 gamma=90.00
Space group Cmmm (No. 65)
Asymmetric unit:
Sm: 0.0000 0.0000 0.0000 [2 per cell]
Sm: 0.0000 0.5000 0.2631 [4 per cell]
Sm: 0.2500 0.2500 0.2791 [8 per cell]
Tl: 0.1774 0.0000 0.5000 [4 per cell]
Te: 0.0000 0.2783 0.0000 [4 per cell]

6.
Compound: ZrTi2Cu
Source: Alexandria
Functional: PBE-GGA
Structure: optimized geometry

Properties
As for the crystal system: monoclinic. For the formation energy, the calculation gives -0.4 kJ/mol of atoms. For the energy above the most stable polymorph in this dataset, the calculation gives 13 meV per atom.

Unit cell a=10.7397 b=3.0666 c=4.7196 alpha=90.00 beta=115.91 gamma=90.00
Space group C2/m (No. 12)
Asymmetric unit:
Zr: 0.0000 0.0000 0.0000 [2 per cell]
Ti: 0.2260 0.0000 0.7262 [4 per cell]
Cu: 0.0000 0.5000 0.5000 [2 per cell]

7.
Compound: TaNiS2
Source: Alexandria
Functional: PBE-GGA
Structure: optimized geometry

Properties
As for the crystal system: tetragonal. For the energy above the most stable polymorph in this dataset, the calculation gives 289 meV per atom. The uncorrected formation energy comes out at -0.424 eV per atom.

Unit cell a=5.3765 b=5.3765 c=10.1153 alpha=90.00 beta=90.00 gamma=90.00
Space group I-42d (No. 122)
Asymmetric unit:
Ta: 0.0000 0.0000 0.0000 [4 per cell]
Ni: 0.0000 0.0000 0.5000 [4 per cell]
S: 0.2244 0.2500 0.6250 [8 per cell]

8.
Compound: Ag2HPd8
Source: Alexandria
Functional: PBE-GGA
Structure: optimized geometry

Properties
As for the crystal system: triclinic. The calculation puts the energy at -4.6185 eV per atom.

Unit cell a=4.9494 b=5.6636 c=6.3715 alpha=102.81 beta=97.23 gamma=107.77
Space group P1 (No. 1)
Asymmetric unit:
Ag: 0.0000 0.0000 0.0000 [1 per cell]
Ag: 0.3997 0.2986 0.7981 [1 per cell]
H: 0.5440 0.4709 0.3547 [1 per cell]
Pd: 0.0001 0.5006 0.9996 [1 per cell]
Pd: 0.1826 0.3972 0.4022 [1 per cell]
Pd: 0.1971 0.8958 0.3986 [1 per cell]
Pd: 0.3988 0.7976 0.7986 [1 per cell]
Pd: 0.5984 0.7042 0.1974 [1 per cell]
Pd: 0.6002 0.1895 0.1960 [1 per cell]
Pd: 0.7942 0.0961 0.5987 [1 per cell]
Pd: 0.8085 0.6042 0.6070 [1 per cell]

9.
Compound: AcCrS3
Source: Alexandria
Functional: PBE-GGA
Structure: optimized geometry

Properties
As for the crystal system: cubic. For the energy above the most stable polymorph in this dataset, the calculation gives 95 meV per atom. The uncorrected formation energy comes out at -1.299 eV per atom.

Unit cell a=4.7045 b=4.7045 c=4.7045 alpha=90.00 beta=90.00 gamma=90.00
Space group Pm-3m (No. 221)
Asymmetric unit:
Ac: 0.0000 0.0000 0.0000 [1 per cell]
Cr: 0.5000 0.5000 0.5000 [1 per cell]
S: 0.0000 0.5000 0.5000 [3 per cell]

10.
Compound: LiSnSbTe2
Source: Alexandria
Functional: PBE-GGA
Structure: optimized geometry

Properties
As for the crystal system: tetragonal. For the energy above the most stable polymorph in this dataset, the calculation gives 0 meV per atom. The uncorrected formation energy comes out at 0.158 eV per atom.

Unit cell a=5.3617 b=5.3617 c=4.8168 alpha=90.00 beta=90.00 gamma=90.00
Space group P4/mmm (No. 123)
Asymmetric unit:
Li: 0.0000 0.0000 0.0000 [1 per cell]
Sn: 0.5000 0.5000 0.5000 [1 per cell]
Sb: 0.0000 0.0000 0.5000 [1 per cell]
Te: 0.0000 0.5000 0.0000 [2 per cell]

11.
Compound: Pm3Ge2Rh7
Source: Alexandria
Functional: PBE-GGA
Structure: optimized geometry

Properties
As for the crystal system: trigonal. For the formation energy, the calculation gives -70.7 kJ/mol of atoms.

Unit cell a=5.5406 b=5.5406 c=24.4826 alpha=90.00 beta=90.00 gamma=120.00
Space group R-3m (No. 166, hexagonal axes)
Asymmetric unit:
Pm: 0.0000 0.0000 0.0000 [3 per cell]
Pm: 0.0000 0.0000 0.1411 [6 per cell]
Ge: 0.0000 0.0000 0.3337 [6 per cell]
Rh: 0.0000 0.0000 0.5000 [3 per cell]
Rh: 0.0003 0.5001 0.0783 [18 per cell]

12.
Compound: Ca5NdSb4
Source: Alexandria
Functional: PBE-GGA
Structure: optimized geometry

Properties
As for the crystal system: monoclinic. The uncorrected formation energy comes out at -0.900 eV per atom.

Unit cell a=19.8741 b=4.7306 c=8.5485 alpha=90.00 beta=115.40 gamma=90.00
Space group C2/m (No. 12)
Asymmetric unit:
Ca: 0.0000 0.0000 0.0000 [2 per cell]
Ca: 0.1679 0.5000 0.4374 [4 per cell]
Ca: 0.1678 0.5000 0.8992 [4 per cell]
Nd: 0.0000 0.0000 0.5000 [2 per cell]
Sb: 0.0001 0.5000 0.2425 [4 per cell]
Sb: 0.2039 0.0000 0.7041 [4 per cell]

13.
Compound: La2CdB
Source: Alexandria
Functional: PBE-GGA
Structure: optimized geometry

Properties
As for the crystal system: tetragonal. For the formation energy, the calculation gives 17.3 kJ/mol of atoms. For the energy above the most stable polymorph in this dataset, the calculation gives 0 meV per atom.

Unit cell a=7.9271 b=7.9271 c=7.2446 alpha=90.00 beta=90.00 gamma=90.00
Space group I-42d (No. 122)
Asymmetric unit:
La: 0.1743 0.2500 0.1250 [8 per cell]
Cd: 0.0000 0.0000 0.5000 [4 per cell]
B: 0.0000 0.0000 0.0000 [4 per cell]

14.
Compound: Fe2AuBr
Source: Alexandria
Functional: PBE-GGA
Structure: optimized geometry

Properties
As for the crystal system: monoclinic. The uncorrected formation energy comes out at 0.441 eV per atom.

Unit cell a=3.2027 b=4.1410 c=5.4390 alpha=90.00 beta=106.63 gamma=90.00
Space group Pm (No. 6)
Asymmetric unit:
Fe: 0.0000 0.0000 0.0000 [1 per cell]
Fe: 0.1435 0.5000 0.2867 [1 per cell]
Au: 0.7083 0.0000 0.4214 [1 per cell]
Br: 0.4250 0.5000 0.8511 [1 per cell]

15.
Compound: NiPd4Pt7
Source: Alexandria
Functional: PBE-GGA
Structure: optimized geometry

Properties
As for the crystal system: triclinic. For the formation energy, the calculation gives 8.4 kJ/mol of atoms.

Unit cell a=4.9483 b=5.4973 c=7.2235 alpha=76.67 beta=83.42 gamma=88.30
Space group P-1 (No. 2)
Asymmetric unit:
Ni: 0.0000 0.0000 0.0000 [1 per cell]
Pd: 0.3041 0.4294 0.6871 [2 per cell]
Pd: 0.3078 0.9312 0.6717 [2 per cell]
Pt: 0.1885 0.2919 0.3585 [2 per cell]
Pt: 0.1919 0.8050 0.3308 [2 per cell]
Pt: 0.2411 0.5764 0.0179 [2 per cell]
Pt: 0.5000 0.0000 0.0000 [1 per cell]

16.
Compound: CdAgIr2
Source: Alexandria
Functional: PBE-GGA
Structure: optimized geometry

Properties
As for the crystal system: tetragonal. For the formation energy, the calculation gives 39.0 kJ/mol of atoms.

Unit cell a=4.1511 b=4.1511 c=7.6455 alpha=90.00 beta=90.00 gamma=90.00
Space group I-4m2 (No. 119)
Asymmetric unit:
Cd: 0.0000 0.0000 0.0000 [2 per cell]
Ag: 0.0000 0.5000 0.2500 [2 per cell]
Ir: 0.0000 0.0000 0.5000 [2 per cell]
Ir: 0.0000 0.5000 0.7500 [2 per cell]

17.
Compound: Y2NiGe3
Source: Alexandria
Functional: PBE-GGA
Structure: optimized geometry

Properties
As for the crystal system: orthorhombic. For the formation energy, the calculation gives -69.5 kJ/mol of atoms. For the energy above the most stable polymorph in this dataset, the calculation gives 0 meV per atom.

Unit cell a=4.0502 b=4.1999 c=7.0804 alpha=90.00 beta=90.00 gamma=90.00
Space group Pmm2 (No. 25)
Asymmetric unit:
Y: 0.0000 0.0000 0.0000 [1 per cell]
Y: 0.0000 0.5000 0.4935 [1 per cell]
Ni: 0.5000 0.0000 0.3151 [1 per cell]
Ge: 0.5000 0.0000 0.6386 [1 per cell]
Ge: 0.5000 0.5000 0.1826 [1 per cell]
Ge: 0.5000 0.5000 0.8313 [1 per cell]

18.
Compound: Tb4TeIr
Source: Alexandria
Functional: PBE-GGA
Structure: optimized geometry

Properties
As for the crystal system: orthorhombic. For the energy above the most stable polymorph in this dataset, the calculation gives 0 meV per atom. The uncorrected formation energy comes out at -0.825 eV per atom.

Unit cell a=8.2351 b=4.0009 c=19.5319 alpha=90.00 beta=90.00 gamma=90.00
Space group Pnma (No. 62)
Asymmetric unit:
Tb: 0.0046 0.2500 0.0684 [4 per cell]
Tb: 0.0375 0.7500 0.2166 [4 per cell]
Tb: 0.1396 0.7500 0.4511 [4 per cell]
Tb: 0.1428 0.7500 0.6469 [4 per cell]
Te: 0.2395 0.2500 0.3111 [4 per cell]
Ir: 0.2413 0.2500 0.5481 [4 per cell]

19.
Compound: Sc3BiSb2
Source: Alexandria
Functional: PBE-GGA
Structure: optimized geometry

Properties
As for the crystal system: orthorhombic. The uncorrected formation energy comes out at -0.846 eV per atom.

Unit cell a=4.1880 b=5.9319 c=12.6194 alpha=90.00 beta=90.00 gamma=90.00
Space group Immm (No. 71)
Asymmetric unit:
Sc: 0.0000 0.0000 0.0000 [2 per cell]
Sc: 0.0000 0.0000 0.3283 [4 per cell]
Bi: 0.0000 0.5000 0.0000 [2 per cell]
Sb: 0.0000 0.5000 0.3349 [4 per cell]

20.
Compound: SnHF3
Source: Alexandria
Functional: PBE-GGA
Structure: optimized geometry

Properties
As for the crystal system: monoclinic. For the energy above the most stable polymorph in this dataset, the calculation gives 13 meV per atom.

Unit cell a=4.8732 b=5.7179 c=5.9894 alpha=90.00 beta=109.09 gamma=90.00
Space group P2_1/m (No. 11)
Asymmetric unit:
Sn: 0.1694 0.2500 0.3287 [2 per cell]
H: 0.3214 0.2500 0.8847 [2 per cell]
F: 0.1061 0.2500 0.6765 [2 per cell]
F: 0.4673 0.2500 0.0534 [2 per cell]
F: 0.5000 0.0000 0.5000 [2 per cell]

| no. | total magnetization (μB/cell) |
| --- | --- |
| 1 | 0.000 |
| 2 | 5.130 |
| 3 | 0.000 |
| 4 | 4.719 |
| 5 | 0.000 |
| 6 | 0.000 |
| 7 | 0.000 |
| 8 | 0.000 |
| 9 | 3.003 |
| 10 | 0.000 |
| 11 | 0.000 |
| 12 | 0.001 |
| 13 | 0.000 |
| 14 | 6.112 |
| 15 | 0.799 |
| 16 | 0.009 |
| 17 | 0.000 |
| 18 | 0.000 |
| 19 | 0.000 |
| 20 | 0.000 |